Record 1
{"formula": "SrHf2CrRu", "functional": "PBE", "state": "optimized geometry", "volume_a3_per_atom": 23.03, "lattice": [[4.745, 0.000, 0.000], [0.000, 5.114, 0.000], [0.000, 0.000, 4.745]], "species": ["Ru", "Hf", "Sr", "Cr", "Hf"], "frac_coords": [[0.500, 0.500, 0.500], [0.000, 0.000, 0.500], [0.000, 0.500, 0.000], [0.000, 0.000, 0.000], [0.500, 0.000, 0.000]]}

Record 2
{"formula": "SrLiCuRh", "functional": "PBE", "state": "optimized geometry", "volume_a3_per_atom": 21.04, "lattice": [[4.343, 0.000, 0.000], [-2.172, 3.763, -0.005], [0.000, -2.508, 5.155]], "species": ["Sr", "Rh", "Li", "Cu"], "frac_coords": [[0.623, 0.247, 0.513], [0.424, 0.848, 0.914], [0.815, 0.629, 0.086], [0.104, 0.208, 0.954]]}

Record 3
{"formula": "La2SmDy", "functional": "PBE", "state": "optimized geometry", "volume_a3_per_atom": 34.79, "lattice": [[-2.729, 1.176, -2.161], [-3.237, 0.931, 1.469], [1.819, 11.905, 1.058]], "species": ["La", "La", "Sm", "Dy"], "frac_coords": [[0.083, 0.083, 0.752], [0.251, 0.251, 0.248], [0.499, 0.499, 0.503], [0.668, 0.668, 0.997]]}

no.,formation energy from the elements (eV per formula unit)
1,5.86
2,-0.58
3,0.09